No. 1
Below is a relaxed structure of KBa2Au, with properties calculated at the PBE level.

## Properties
E	-2.005	eV per atom
formation enthalpy at 0 K	0.050	eV per atom
excess energy over the best structure of this formula in the dataset	423	meV per atom
SG	F-43m (216)

a = 8.5847 Å, b = 8.5847 Å, c = 8.5847 Å
α = 90.00°, β = 90.00°, γ = 90.00°
Last column: nearest neighbours and their distance in Å.
Positions (direct):
K  0.0000  0.0000  0.0000  4 Au 3.72, 4 Ba 3.72
K  0.0000  0.5000  0.5000  4 Au 3.72, 4 Ba 3.72
K  0.5000  0.0000  0.5000  4 Au 3.72, 4 Ba 3.72
K  0.5000  0.5000  0.0000  4 Au 3.72, 4 Ba 3.72
Ba  0.0000  0.0000  0.5000  4 Ba 3.72, 4 Au 3.72
Ba  0.0000  0.5000  0.0000  4 Ba 3.72, 4 Au 3.72
Ba  0.2500  0.2500  0.7500  4 Ba 3.72, 4 K 3.72
Ba  0.2500  0.7500  0.2500  4 Ba 3.72, 4 K 3.72
Ba  0.5000  0.0000  0.0000  4 Ba 3.72, 4 Au 3.72
Ba  0.5000  0.5000  0.5000  4 Ba 3.72, 4 Au 3.72
Ba  0.7500  0.2500  0.2500  4 Ba 3.72, 4 K 3.72
Ba  0.7500  0.7500  0.7500  4 Ba 3.72, 4 K 3.72
Au  0.2500  0.2500  0.2500  4 Ba 3.72, 4 K 3.72
Au  0.2500  0.7500  0.7500  4 Ba 3.72, 4 K 3.72
Au  0.7500  0.2500  0.7500  4 Ba 3.72, 4 K 3.72
Au  0.7500  0.7500  0.2500  4 Ba 3.72, 4 K 3.72



No. 2
Below is a relaxed structure of KBa2Au, with properties calculated at the PBE level.

## Properties
E	-2.427	eV per atom
formation enthalpy at 0 K	-0.372	eV per atom
excess energy over the best structure of this formula in the dataset	1	meV per atom
SG	C2/m (12)

a = 8.3038 Å, b = 4.8091 Å, c = 11.7006 Å
α = 90.00°, β = 103.72°, γ = 90.00°
Last column: nearest neighbours and their distance in Å.
Positions (direct):
K  0.0000  0.0000  0.0000  6 Ba 4.80, 6 K 4.80-4.81
K  0.5000  0.5000  0.0000  6 Ba 4.80, 6 K 4.80-4.81
Ba  0.2181  0.0000  0.6554  3 Au 3.29
Ba  0.2819  0.5000  0.3446  3 Au 3.29
Ba  0.7181  0.5000  0.6554  3 Au 3.29
Ba  0.7819  0.0000  0.3446  3 Au 3.29
Au  0.0000  0.5000  0.5000  6 Ba 3.29
Au  0.5000  0.0000  0.5000  6 Ba 3.29



No. 3
Below is a relaxed structure of KBa2Au, with properties calculated at the PBE level.

## Properties
E	-2.278	eV per atom
formation enthalpy at 0 K	-0.223	eV per atom
excess energy over the best structure of this formula in the dataset	150	meV per atom
SG	R3m (160)

a = 4.6170 Å, b = 4.6170 Å, c = 34.9963 Å
α = 90.00°, β = 90.00°, γ = 120.00°
Last column: nearest neighbours and their distance in Å.
Positions (direct):
K  0.0000  0.0000  0.0000  3 Au 3.38
K  0.3333  0.6667  0.6667  3 Au 3.38
K  0.6667  0.3333  0.3333  3 Au 3.38
Ba  0.0000  0.0000  0.2215  9 Ba 4.62-4.67, 3 K 4.74
Ba  0.0000  0.0000  0.4451  3 Au 3.23
Ba  0.3333  0.6667  0.1118  3 Au 3.23
Ba  0.3333  0.6667  0.8882  9 Ba 4.62-4.67, 3 K 4.74
Ba  0.6667  0.3333  0.5548  9 Ba 4.62-4.67, 3 K 4.74
Ba  0.6667  0.3333  0.7785  3 Au 3.23
Au  0.0000  0.0000  0.7261  3 Ba 3.23, 3 K 3.38
Au  0.3333  0.6667  0.3928  3 Ba 3.23, 3 K 3.38
Au  0.6667  0.3333  0.0595  3 Ba 3.23, 3 K 3.38